Density functional theory data (GGA-PBE) for a relaxed structure of Mn2W2Cl.

Results
E_form (uncorrected) (meV per atom): 619
D(E_F) (states/eV/f.u.): 3.55
Polymorph energy (0 for the lowest one) (meV/atom): 0

a b c (Å): 7.241 7.241 2.905
angles (deg): 90.00 90.00 90.00
Last column: magnetic moment on the atom in μB.
Fractional coordinates of all 10 atoms:
Mn1 0.365 0.135 0.500  0.21
W1 0.145 0.355 0.000  -0.09
Mn2 0.635 0.865 0.500  0.21
W2 0.355 0.855 0.000  -0.08
W3 0.855 0.645 0.000  -0.09
W4 0.645 0.145 0.000  -0.08
Cl1 0.500 0.500 0.000  0.00
Cl2 0.000 0.000 0.000  0.00
Mn3 0.865 0.365 0.500  0.21
Mn4 0.135 0.635 0.500  0.21